Compound: Na4Tl6Hg
Source: Alexandria
Functional: PBE
Structure: optimized geometry

Summary:
Symmetry: I-42m
Energy relative to the elements (eV per atom): -0.05

a = 9.2976 Å, b = 9.2976 Å, c = 9.2976 Å
α = 139.32°, β = 139.32°, γ = 58.89°
Fractional coordinates of all 11 atoms:
Na (0.1413, 0.1413, 0.6136)
Na (0.4723, 0.8587, 0.0000)
Na (0.5277, 0.5277, 0.3864)
Na (0.8587, 0.4723, 0.0000)
Tl (0.0000, 0.5000, 0.5000)
Tl (0.0471, 0.6832, 0.0000)
Tl (0.3168, 0.3168, 0.3639)
Tl (0.5000, 0.0000, 0.5000)
Tl (0.6832, 0.0471, 0.0000)
Tl (0.9529, 0.9529, 0.6361)
Hg (0.5000, 0.5000, 0.0000)